Entry from Alexandria: BOsO2 at its PBEsol-relaxed geometry (SCAN).

Cell and atoms, written as extended XYZ:
```
12
Lattice="2.693 0.000 0.000 -1.347 2.332 0.000 0.000 0.000 19.546" Properties=species:S:1:pos:R:3 pbc="T T T"
B 0.000 0.000 0.000
B 0.000 1.555 13.031
B 1.347 0.777 6.515
Os 0.000 0.000 9.773
Os 0.000 1.555 3.258
Os 1.347 0.777 16.289
O 0.000 0.000 1.276
O 0.000 0.000 18.271
O 0.000 1.555 11.755
O 0.000 1.555 14.307
O 1.347 0.777 5.240
O 1.347 0.777 7.791
```

Summary:
- magnetic moment (μB per cell) = 3.75
- uncorrected energy (eV/atom) = -23.22
- uncorrected formation energy (kJ/mol of atoms) = -27



Entry from Alexandria: BP2OsO at its PBEsol-relaxed geometry (SCAN).

Cell and atoms, written as extended XYZ:
```
5
Lattice="4.660 0.000 0.000 0.000 4.660 0.000 0.000 0.000 3.620" Properties=species:S:1:pos:R:3 pbc="T T T"
B 0.000 0.000 0.000
P 0.000 2.330 1.810
P 2.330 0.000 1.810
Os 2.330 2.330 1.810
O 2.330 2.330 0.000
```

Summary:
- magnetic moment (μB per cell) = 0.00
- uncorrected energy (eV/atom) = -20.25
- uncorrected formation energy (kJ/mol of atoms) = 98



Entry from Alexandria: B3PO at its PBEsol-relaxed geometry (SCAN).

Cell and atoms, written as extended XYZ:
```
5
Lattice="3.512 0.000 0.000 0.000 3.512 0.000 0.000 0.000 3.512" Properties=species:S:1:pos:R:3 pbc="T T T"
B 0.000 0.000 1.756
B 0.000 1.756 0.000
B 1.756 0.000 0.000
P 1.756 1.756 1.756
O 0.000 0.000 0.000
```

Summary:
- magnetic moment (μB per cell) = 0.49
- uncorrected energy (eV/atom) = -5.96
- uncorrected formation energy (kJ/mol of atoms) = 176



Entry from Alexandria: BPO3 at its PBEsol-relaxed geometry (SCAN).

Cell and atoms, written as extended XYZ:
```
5
Lattice="3.318 0.000 0.000 0.000 3.318 0.000 0.000 0.000 3.318" Properties=species:S:1:pos:R:3 pbc="T T T"
B 0.000 0.000 0.000
P 1.659 1.659 1.659
O 0.000 0.000 1.659
O 0.000 1.659 0.000
O 1.659 0.000 0.000
```

Summary:
- magnetic moment (μB per cell) = 0.00
- uncorrected energy (eV/atom) = -7.70
- uncorrected formation energy (kJ/mol of atoms) = -39



Entry from Alexandria: SiBP2O at its PBEsol-relaxed geometry (SCAN).

Cell and atoms, written as extended XYZ:
```
5
Lattice="4.719 0.000 0.000 0.000 4.719 0.000 0.000 0.000 2.747" Properties=species:S:1:pos:R:3 pbc="T T T"
Si 0.000 0.000 0.000
B 2.360 2.360 1.374
P 0.000 2.360 1.374
P 2.360 0.000 1.374
O 2.360 2.360 0.000
```

Summary:
- magnetic moment (μB per cell) = 0.00
- uncorrected energy (eV/atom) = -8.63
- uncorrected formation energy (kJ/mol of atoms) = 25



Entry from Alexandria: Sr6BP5O20 at its PBEsol-relaxed geometry (SCAN).

Cell and atoms, written as extended XYZ:
```
64
Lattice="-4.876 4.876 9.504 4.876 -4.876 9.504 4.876 4.876 -9.504" Properties=species:S:1:pos:R:3 pbc="T T T"
Sr 4.803 -2.934 6.372
Sr 4.803 2.934 -3.132
Sr 7.810 -0.073 3.132
Sr 1.942 0.073 3.132
Sr 2.724 2.152 0.000
Sr 2.724 -2.152 9.504
Sr 0.073 1.942 6.372
Sr 4.950 2.934 6.372
Sr 1.942 -0.073 12.636
Sr 2.934 4.950 3.132
Sr 2.152 7.029 0.000
Sr 2.152 2.724 9.504
B 4.876 0.000 4.752
B 0.000 4.876 4.752
P 0.000 0.000 0.000
P 2.007 4.654 -2.873
P 5.099 2.007 2.873
P 2.870 0.223 6.631
P 0.223 2.870 2.873
P 0.000 0.000 9.504
P -2.007 4.654 6.631
P -0.223 6.883 2.873
P 2.007 5.099 6.631
P -0.223 2.870 12.377
O 1.274 -0.301 0.841
O 4.991 3.280 -5.813
O 7.126 1.461 -2.025
O 8.478 0.301 0.841
O 5.177 -3.602 8.663
O 4.099 -0.961 3.976
O 5.837 -0.778 5.528
O 2.249 3.415 -2.025
O 3.915 1.388 2.154
O 3.488 -0.961 7.350
O 1.596 -0.115 5.813
O 5.654 0.961 3.976
O 3.280 4.991 -3.691
O 5.177 3.602 -0.841
O 6.338 2.249 2.025
O -0.115 1.596 3.691
O 3.916 0.778 5.528
O 1.461 2.627 2.025
O -0.961 3.488 2.154
O 1.388 5.838 -2.154
O 3.602 4.575 0.841
O 4.761 3.280 3.691
O 2.627 1.461 7.479
O 1.274 0.301 10.346
O -0.301 1.274 8.663
O 0.778 3.916 3.976
O -0.961 4.099 5.528
O -2.249 3.415 7.479
O 0.961 6.264 2.154
O 1.388 3.915 7.350
O 3.280 4.761 5.813
O -0.778 5.837 3.976
O 1.596 0.115 15.317
O 4.575 3.602 8.663
O 3.415 2.249 11.529
O 0.115 1.596 13.195
O 0.961 5.654 5.528
O -1.461 2.627 11.529
O 0.961 3.488 11.658
O -1.388 5.838 7.350
```

Summary:
- magnetic moment (μB per cell) = 0.38
- uncorrected energy (eV/atom) = -13.03
- uncorrected formation energy (kJ/mol of atoms) = -299



Entry from Alexandria: TlBPO2 at its PBEsol-relaxed geometry (SCAN).

Cell and atoms, written as extended XYZ:
```
5
Lattice="3.535 0.000 0.000 0.000 3.535 0.000 0.000 0.000 4.546" Properties=species:S:1:pos:R:3 pbc="T T T"
Tl 0.000 0.000 0.000
B 1.768 1.768 2.273
P 1.768 1.768 0.000
O 0.000 1.768 2.273
O 1.768 0.000 2.273
```

Summary:
- magnetic moment (μB per cell) = 0.01
- uncorrected energy (eV/atom) = -20.33
- uncorrected formation energy (kJ/mol of atoms) = 19



Entry from Alexandria: BPWO2 at its PBEsol-relaxed geometry (SCAN).

Cell and atoms, written as extended XYZ:
```
5
Lattice="3.734 0.000 0.000 0.000 3.734 0.000 0.000 0.000 5.028" Properties=species:S:1:pos:R:3 pbc="T T T"
B 0.000 0.000 0.000
P 1.867 1.867 0.000
W 1.867 1.867 2.514
O 0.000 1.867 2.514
O 1.867 0.000 2.514
```

Summary:
- magnetic moment (μB per cell) = 0.00
- uncorrected energy (eV/atom) = -20.27
- uncorrected formation energy (kJ/mol of atoms) = -27



Entry from Alexandria: B2Pb4O7 at its PBEsol-relaxed geometry (SCAN).

Cell and atoms, written as extended XYZ:
```
52
Lattice="15.249 0.000 0.000 0.000 5.455 5.019 0.000 -5.455 5.019" Properties=species:S:1:pos:R:3 pbc="T T T"
B 0.130 -4.220 5.019
B 3.736 4.114 5.029
B 3.888 -1.341 5.029
B 7.494 1.236 5.019
B 7.755 -1.236 5.019
B 11.361 1.341 5.029
B 11.513 -4.114 5.029
B 15.119 4.220 5.019
Pb 1.262 1.344 5.449
Pb 1.792 -0.532 2.428
Pb 1.871 -2.150 7.382
Pb 2.999 -4.083 4.085
Pb 4.626 1.373 4.085
Pb 5.753 -2.150 2.362
Pb 5.833 -0.532 7.447
Pb 6.362 -4.111 5.449
Pb 8.887 4.111 5.449
Pb 9.416 0.532 7.447
Pb 9.496 2.150 2.362
Pb 10.623 -1.373 4.085
Pb 12.250 4.083 4.085
Pb 13.378 2.150 7.382
Pb 13.457 0.532 2.428
Pb 13.987 -1.344 5.449
O 0.000 0.000 4.218
O 0.000 0.000 9.377
O 0.443 3.144 4.402
O 0.838 -4.139 6.188
O 2.446 1.391 3.502
O 3.570 -0.151 0.708
O 3.654 -2.535 5.696
O 3.697 -1.305 8.662
O 3.927 -1.305 3.643
O 3.970 2.921 5.696
O 4.054 -0.151 5.727
O 5.178 1.391 8.521
O 6.787 1.316 6.188
O 7.182 -2.312 4.402
O 7.625 0.000 4.358
O 7.625 0.000 9.238
O 8.067 2.312 4.402
O 8.462 -1.316 6.188
O 10.071 -1.391 8.521
O 11.195 0.151 5.727
O 11.279 -2.921 5.696
O 11.322 1.305 3.643
O 11.552 1.305 8.662
O 11.595 2.535 5.696
O 11.679 0.151 0.708
O 12.803 -1.391 3.502
O 14.411 4.139 6.188
O 14.806 -3.144 4.402
```

Summary:
- magnetic moment (μB per cell) = 0.00
- uncorrected energy (eV/atom) = -29.58
- uncorrected formation energy (kJ/mol of atoms) = -170



Entry from Alexandria: B10Pb6O21 at its PBEsol-relaxed geometry (SCAN).

Cell and atoms, written as extended XYZ:
```
37
Lattice="6.825 0.000 0.000 3.411 6.114 0.000 2.142 0.403 10.877" Properties=species:S:1:pos:R:3 pbc="T T T"
B 0.911 1.104 0.786
B 5.074 6.003 7.650
B 4.385 4.211 2.800
B 5.267 4.082 6.042
B 6.006 5.976 2.200
B 6.372 0.541 8.676
B 7.111 2.435 4.835
B 7.993 2.306 8.077
B 7.304 0.514 3.227
B 11.468 5.413 10.091
Pb 3.998 2.546 8.708
Pb 3.522 1.605 4.739
Pb 7.672 4.894 9.935
Pb 4.706 1.623 0.942
Pb 8.856 4.912 6.138
Pb 8.380 3.971 2.169
O 3.486 5.179 3.272
O 2.918 4.365 0.322
O 3.970 3.649 6.072
O 5.510 5.439 8.984
O 1.924 0.576 3.276
O 5.727 5.260 6.595
O 2.156 0.485 0.884
O 3.966 2.907 2.835
O 5.589 4.546 2.229
O 4.936 0.442 8.560
O 6.189 3.258 5.438
O 7.442 6.075 2.317
O 6.789 1.971 8.648
O 8.412 3.610 8.042
O 10.222 6.032 9.993
O 6.651 1.257 4.282
O 10.455 5.941 7.601
O 6.868 1.078 1.893
O 8.408 2.868 4.805
O 9.460 2.152 10.555
O 8.892 1.338 7.605
```

Summary:
- magnetic moment (μB per cell) = 0.00
- uncorrected energy (eV/atom) = -20.04
- uncorrected formation energy (kJ/mol of atoms) = -213



Entry from Alexandria: B2Pb6SO12 at its PBEsol-relaxed geometry (SCAN).

Cell and atoms, written as extended XYZ:
```
84
Lattice="6.401 0.000 0.000 0.000 11.711 0.000 0.000 0.000 17.933" Properties=species:S:1:pos:R:3 pbc="T T T"
B 0.495 0.061 4.414
B 0.495 5.794 4.414
B 2.705 5.917 13.380
B 2.705 11.650 13.380
B 3.695 0.061 4.553
B 3.695 5.794 4.553
B 5.906 5.917 13.520
B 5.906 11.650 13.520
Pb 0.646 8.784 14.367
Pb 0.911 6.924 10.795
Pb 0.911 10.643 10.795
Pb 1.117 1.106 16.060
Pb 1.117 4.750 16.060
Pb 1.399 2.928 12.711
Pb 1.802 8.784 3.745
Pb 2.084 6.962 7.093
Pb 2.084 10.605 7.093
Pb 2.289 1.068 1.828
Pb 2.289 4.788 1.828
Pb 2.555 2.928 5.401
Pb 3.846 8.784 12.533
Pb 4.111 6.924 16.105
Pb 4.111 10.643 16.105
Pb 4.317 1.106 10.841
Pb 4.317 4.750 10.841
Pb 4.599 2.928 14.189
Pb 5.002 8.784 5.222
Pb 5.284 6.962 1.874
Pb 5.284 10.605 1.874
Pb 5.490 1.068 7.139
Pb 5.490 4.788 7.139
Pb 5.755 2.928 3.566
S 1.345 2.928 9.136
S 1.856 8.784 0.170
S 4.545 2.928 17.764
S 5.056 8.784 8.797
O 0.072 2.928 9.921
O 0.183 1.206 5.131
O 0.183 4.650 5.131
O 0.454 0.130 3.024
O 0.454 5.726 3.024
O 0.487 2.928 15.007
O 0.842 6.961 5.059
O 0.842 10.606 5.059
O 0.966 2.928 7.669
O 1.073 7.556 0.453
O 1.073 10.011 0.453
O 1.346 2.928 2.445
O 1.854 8.784 11.412
O 2.127 1.700 9.420
O 2.127 4.156 9.420
O 2.234 8.784 16.635
O 2.359 1.105 14.026
O 2.359 4.751 14.026
O 2.713 8.784 6.041
O 2.747 5.985 11.990
O 2.747 11.582 11.990
O 3.017 7.061 14.097
O 3.017 10.506 14.097
O 3.129 8.784 0.954
O 3.272 2.928 16.979
O 3.384 1.206 3.836
O 3.384 4.650 3.836
O 3.654 0.130 5.943
O 3.654 5.726 5.943
O 3.688 2.928 11.893
O 4.042 6.961 3.908
O 4.042 10.606 3.908
O 4.167 2.928 1.298
O 4.273 7.556 8.514
O 4.273 10.011 8.514
O 4.547 2.928 6.522
O 5.054 8.784 15.488
O 5.327 1.700 17.480
O 5.327 4.156 17.480
O 5.434 8.784 10.265
O 5.559 1.105 12.874
O 5.559 4.751 12.874
O 5.913 8.784 2.926
O 5.947 5.985 14.910
O 5.947 11.582 14.910
O 6.217 7.061 12.803
O 6.217 10.506 12.803
O 6.329 8.784 8.013
```

Summary:
- magnetic moment (μB per cell) = 0.00
- uncorrected energy (eV/atom) = -28.06
- uncorrected formation energy (kJ/mol of atoms) = -163



Entry from Alexandria: BTePb2O at its PBEsol-relaxed geometry (SCAN).

Cell and atoms, written as extended XYZ:
```
5
Lattice="4.995 0.000 0.000 0.000 4.995 0.000 0.000 0.000 4.513" Properties=species:S:1:pos:R:3 pbc="T T T"
B 0.000 0.000 0.000
Te 2.497 2.497 0.000
Pb 0.000 2.497 2.256
Pb 2.497 0.000 2.256
O 2.497 2.497 2.256
```

Summary:
- magnetic moment (μB per cell) = 0.00
- uncorrected energy (eV/atom) = -39.82
- uncorrected formation energy (kJ/mol of atoms) = 65



Entry from Alexandria: B2Pb6WO12 at its PBEsol-relaxed geometry (SCAN).

Cell and atoms, written as extended XYZ:
```
42
Lattice="9.206 -3.126 0.000 9.206 3.126 0.000 0.000 0.000 11.870" Properties=species:S:1:pos:R:3 pbc="T T T"
B 4.531 0.000 0.000
B 4.531 0.000 5.935
B 13.881 0.000 0.000
B 13.881 0.000 5.935
Pb 3.846 1.291 8.902
Pb 7.275 1.488 7.044
Pb 7.275 1.488 10.761
Pb 11.137 1.488 7.044
Pb 11.137 1.488 10.761
Pb 3.846 -1.291 2.967
Pb 14.566 1.291 8.902
Pb 7.275 -1.488 1.109
Pb 7.275 -1.488 4.826
Pb 11.137 -1.488 1.109
Pb 11.137 -1.488 4.826
Pb 14.566 -1.291 2.967
W 9.206 1.722 2.967
W 9.206 -1.722 8.902
O 2.728 0.792 2.967
O 9.206 2.750 1.500
O 9.206 2.750 4.435
O 3.132 0.000 0.000
O 3.132 0.000 5.935
O 5.212 0.344 7.086
O 5.212 0.344 10.719
O 2.728 -0.792 8.902
O 7.766 0.637 2.967
O 5.212 -0.344 1.151
O 5.212 -0.344 4.784
O 10.646 0.637 2.967
O 7.766 -0.637 8.902
O 13.200 0.344 7.086
O 13.200 0.344 10.719
O 10.646 -0.637 8.902
O 15.684 0.792 2.967
O 13.200 -0.344 1.151
O 13.200 -0.344 4.784
O 15.280 0.000 0.000
O 15.280 0.000 5.935
O 9.206 -2.750 7.435
O 9.206 -2.750 10.370
O 15.684 -0.792 8.902
```

Summary:
- magnetic moment (μB per cell) = 0.00
- uncorrected energy (eV/atom) = -31.02
- uncorrected formation energy (kJ/mol of atoms) = -172